No. 1
A plane-wave DFT calculation with PBE was carried out for an optimized crystal structure of FeAg3S.

Cell lengths 4.8559, 4.8559, 4.8559 Å; angles 90.00, 90.00, 90.00 degrees
With the nearest neighbours (Å) after each atom.
Atoms (fractional coordinates):
Fe: 0.0000 0.0000 0.0000  6 Ag 2.43
Ag: 0.0000 0.0000 0.5000  2 Fe 2.43
Ag: 0.0000 0.5000 0.0000  2 Fe 2.43
Ag: 0.5000 0.0000 0.0000  2 Fe 2.43
S: 0.5000 0.5000 0.5000  12 Ag 3.43

## Properties
Crystal system: cubic
SG: No. 221



No. 2
A plane-wave DFT calculation with PBE was carried out for an optimized crystal structure of Fe2AgS2.

Cell lengths 5.6423, 5.6423, 5.6423 Å; angles 140.59, 140.59, 56.95 degrees
With the nearest neighbours (Å) after each atom.
Atoms (fractional coordinates):
Fe: 0.1335 0.1335 0.0000  4 S 2.23
Fe: 0.8665 0.8665 0.0000  4 S 2.23
Ag: 0.5000 0.5000 0.0000  8 Fe 3.00, 8 S 3.13
S: 0.2500 0.7500 0.5000  4 Fe 2.23
S: 0.7500 0.2500 0.5000  4 Fe 2.23

## Properties
Crystal system: tetragonal
SG: No. 139



No. 3
A plane-wave DFT calculation with PBE was carried out for an optimized crystal structure of Fe2AgS3.

Cell lengths 6.4689, 6.5783, 12.9961 Å; angles 90.00, 119.49, 90.00 degrees
With the nearest neighbours (Å) after each atom.
Atoms (fractional coordinates):
Fe: 0.0032 0.1301 0.3316  4 S 2.21-2.27
Fe: 0.0032 0.3699 0.8316  4 S 2.21-2.27
Fe: 0.3307 0.6143 0.9960  4 S 2.21-2.23
Fe: 0.3307 0.8857 0.4960  4 S 2.21-2.23
Fe: 0.6693 0.1143 0.5040  4 S 2.21-2.23
Fe: 0.6693 0.3857 0.0040  4 S 2.21-2.23
Fe: 0.9968 0.6301 0.1684  4 S 2.21-2.27
Fe: 0.9968 0.8699 0.6684  4 S 2.21-2.27
Ag: 0.3183 0.0976 0.1638  4 S 2.50-2.57
Ag: 0.3183 0.4024 0.6638  4 S 2.50-2.57
Ag: 0.6817 0.5976 0.3362  4 S 2.50-2.57
Ag: 0.6817 0.9024 0.8362  4 S 2.50-2.57
S: 0.0211 0.7148 0.8288  3 Fe 2.21-2.27
S: 0.0211 0.7852 0.3288  3 Fe 2.21-2.27
S: 0.3085 0.7177 0.1521  2 Fe 2.21
S: 0.3085 0.7823 0.6521  2 Fe 2.21
S: 0.3315 0.2249 0.4912  3 Fe 2.21-2.23
S: 0.3315 0.2751 0.9912  3 Fe 2.21-2.23
S: 0.6685 0.7249 0.0088  3 Fe 2.21-2.23
S: 0.6685 0.7751 0.5088  3 Fe 2.21-2.23
S: 0.6915 0.2177 0.3479  2 Fe 2.21
S: 0.6915 0.2823 0.8479  2 Fe 2.21
S: 0.9789 0.2148 0.6712  3 Fe 2.21-2.27
S: 0.9789 0.2852 0.1712  3 Fe 2.21-2.27

## Properties
Crystal system: monoclinic
SG: No. 14



no.,DFT total energy (eV/atom),raw formation energy (eV/atom)
1,-3.132,1.0967
2,-5.373,0.2334
3,-5.675,-0.3147